# 1
DFT (GGA-PBEsol) results for an optimized crystal structure of In2SnSbBr.

Calculated values
Fermi-level density of states in states/eV/cell: 2.09
V in Å³/atom: 34.53
E in eV per atom: -2.89

abc: 5.5991 5.5991 5.5077
angles: 90.00 90.00 90.00
Last column: nearest neighbours and their distance in Å.
Atoms (fractional coordinates):
In  0.0000  0.5000  0.0000  2 Br 2.80
In  0.5000  0.0000  0.0000  2 Br 2.80
Sn  0.0000  0.0000  0.5000  2 Br 2.75
Sb  0.5000  0.5000  0.5000  8 In 3.93, 4 Sn 3.96
Br  0.0000  0.0000  0.0000  2 Sn 2.75, 4 In 2.80


# 2
DFT (GGA-PBEsol) results for an optimized crystal structure of Al2Ga2Pb.

Calculated values
Fermi-level density of states in states/eV/cell: 1.70
DFT formation energy in eV/f.u.: 0.219
V in Å³/atom: 20.11
E in eV per atom: -3.73

abc: 6.3218 6.3218 6.3218
angles: 140.69 140.69 56.80
Last column: nearest neighbours and their distance in Å.
Atoms (fractional coordinates):
Al  0.2500  0.7500  0.5000  4 Ga 2.63
Al  0.7500  0.2500  0.5000  4 Ga 2.63
Ga  0.1109  0.1109  0.0000  1 Ga 2.47, 4 Al 2.63
Ga  0.8891  0.8891  0.0000  1 Ga 2.47, 4 Al 2.63
Pb  0.5000  0.5000  0.0000  8 Ga 3.25, 8 Al 3.50


# 3
DFT (GGA-PBEsol) results for an optimized crystal structure of InHg2Cl.

Calculated values
Fermi-level density of states in states/eV/cell: 0.56
V in Å³/atom: 25.75
Energy above the most stable polymorph in this dataset in meV per atom: 2.0
E in eV per atom: -1.85

abc: 6.4375 6.4375 4.2035
angles: 108.18 108.18 125.79
Last column: nearest neighbours and their distance in Å.
Atoms (fractional coordinates):
In  0.0000  0.0000  0.0000  4 Cl 2.93-3.06, 4 Hg 3.25
Hg  0.0000  0.5000  0.5000  4 Hg 2.93-3.06, 2 Cl 3.25, 2 In 3.25
Hg  0.5000  0.0000  0.5000  4 Hg 2.93-3.06, 2 In 3.25, 2 Cl 3.25
Cl  0.5000  0.5000  0.0000  4 In 2.93-3.06, 4 Hg 3.25


# 4
DFT (GGA-PBEsol) results for an optimized crystal structure of Li3HgAu.

Calculated values
Fermi-level density of states in states/eV/cell: 2.04
DFT formation energy in eV/f.u.: 0.809
V in Å³/atom: 21.47
Energy above the most stable polymorph in this dataset in meV per atom: 271.8
E in eV per atom: -1.92

abc: 4.7530 4.7530 4.7530
angles: 90.00 90.00 90.00
Last column: nearest neighbours and their distance in Å.
Atoms (fractional coordinates):
Li  0.0000  0.0000  0.5000  2 Hg 2.38
Li  0.0000  0.5000  0.0000  2 Hg 2.38
Li  0.5000  0.0000  0.0000  2 Hg 2.38
Hg  0.0000  0.0000  0.0000  6 Li 2.38
Au  0.5000  0.5000  0.5000  12 Li 3.36


Q: What is the E in the first record?
A: -2.89 eV per atom